Here is Rb2CuAg after structural relaxation from Alexandria via LeMat-Bulk. Energies are from PBE.

Computed properties:
V in Å³ per atom: 38.4
DFT formation energy in eV per atom: 0.307
Total energy in eV/cell: -7.66

```
Rb2CuAg
1.0
0.000 4.251 4.251
4.251 0.000 4.251
4.251 4.251 0.000
Rb Cu Ag
2 1 1
Direct
0.250 0.250 0.250
0.750 0.750 0.750
0.000 0.000 0.000
0.500 0.500 0.500
```

Here is RbCuAg2Ru after structural relaxation from Alexandria via LeMat-Bulk. Energies are from PBE.

Computed properties:
V in Å³ per atom: 31.2
DFT formation energy in eV per atom: 2.200
Total energy in eV/cell: -9.04

```
RbCuAg2Ru
1.0
5.515 0.000 0.000
0.000 5.515 0.000
0.000 0.000 5.130
Rb Cu Ag Ru
1 1 2 1
Direct
0.000 0.000 0.000
0.000 0.000 0.500
0.000 0.500 0.000
0.500 0.000 0.000
0.500 0.500 0.500
```

Look up the V of the first one. 38.4 Å³ per atom

Please write out number 1 again, unchanged.
Here is Rb2CuAg after structural relaxation from Alexandria via LeMat-Bulk. Energies are from PBE.

Computed properties:
V in Å³ per atom: 38.4
DFT formation energy in eV per atom: 0.307
Total energy in eV/cell: -7.66

```
Rb2CuAg
1.0
0.000 4.251 4.251
4.251 0.000 4.251
4.251 4.251 0.000
Rb Cu Ag
2 1 1
Direct
0.250 0.250 0.250
0.750 0.750 0.750
0.000 0.000 0.000
0.500 0.500 0.500
```

The highest V belongs to which entry? Rb2CuAg